# TlRuS2N

An optimized crystal structure of TlRuS2N (PBE, Alexandria via LeMat-Bulk).

Output
Formation energy (no corrections)   0.28 eV per atom
Volume   90.9 Å³ per cell

Unit cell a=4.958 b=4.958 c=3.700 alpha=90.00 beta=90.00 gamma=90.00
Atoms (fractional coordinates):
S 0.000 0.500 0.000
S 0.500 0.000 0.000
Ru 0.000 0.000 0.000
N 0.000 0.000 0.500
Tl 0.500 0.500 0.500

---

# VRuS2N

An optimized crystal structure of VRuS2N (PBE, Alexandria via LeMat-Bulk).

Output
Formation energy (no corrections)   0.52 eV per atom
Volume   77.2 Å³ per cell

Unit cell a=4.654 b=3.566 c=4.654 alpha=90.00 beta=90.00 gamma=90.00
Last column: magnetic moment on the atom in μB.
Atoms (fractional coordinates):
S 0.000 0.000 0.500  0.01
S 0.500 0.000 0.000  -0.02
N 0.000 0.500 0.000  0.04
V 0.000 0.000 0.000  0.18
Ru 0.500 0.500 0.500  1.82

---

# VRuS2N

An optimized crystal structure of VRuS2N (PBE, Alexandria via LeMat-Bulk).

Output
Formation energy (no corrections)   0.62 eV per atom
Volume   82.2 Å³ per cell

Unit cell a=4.765 b=4.765 c=3.622 alpha=90.00 beta=90.00 gamma=90.00
Last column: magnetic moment on the atom in μB.
Atoms (fractional coordinates):
Ru 0.000 0.000 0.000  -0.13
N 0.000 0.000 0.500  -0.01
S 0.500 0.000 0.000  -0.03
S 0.000 0.500 0.000  -0.03
V 0.500 0.500 0.500  0.09

---

# RuWSN2

An optimized crystal structure of RuWSN2 (PBE, Alexandria via LeMat-Bulk).

Output
Formation energy (no corrections)   1.37 eV per atom
Volume   71.0 Å³ per cell

Unit cell a=3.786 b=3.786 c=4.955 alpha=90.00 beta=90.00 gamma=90.00
Last column: magnetic moment on the atom in μB.
Atoms (fractional coordinates):
W 0.500 0.500 0.500  2.57
N 0.500 0.000 0.000  -0.23
N 0.000 0.500 0.000  -0.23
S 0.000 0.000 0.500  -0.04
Ru 0.000 0.000 0.000  0.26

---

# RuWS2N

An optimized crystal structure of RuWS2N (PBE, Alexandria via LeMat-Bulk).

Output
Formation energy (no corrections)   1.01 eV per atom
Volume   81.7 Å³ per cell

Unit cell a=4.766 b=4.766 c=3.598 alpha=90.00 beta=90.00 gamma=90.00
Last column: magnetic moment on the atom in μB.
Atoms (fractional coordinates):
S 0.500 0.000 0.000  -0.11
S 0.000 0.500 0.000  -0.11
W 0.500 0.500 0.500  2.42
Ru 0.000 0.000 0.000  -0.12
N 0.000 0.000 0.500  0.03

---

# RuWS2N

An optimized crystal structure of RuWS2N (PBE, Alexandria via LeMat-Bulk).

Output
Formation energy (no corrections)   0.72 eV per atom
Volume   87.3 Å³ per cell

Unit cell a=4.792 b=4.792 c=3.800 alpha=90.00 beta=90.00 gamma=90.00
Last column: magnetic moment on the atom in μB.
Atoms (fractional coordinates):
W 0.000 0.000 0.000  0.03
N 0.000 0.000 0.500  0.10
S 0.000 0.500 0.000  0.11
S 0.500 0.000 0.000  0.11
Ru 0.500 0.500 0.500  2.77

---

# RuWSN2

An optimized crystal structure of RuWSN2 (PBE, Alexandria via LeMat-Bulk).

Output
Formation energy (no corrections)   0.81 eV per atom
Volume   74.8 Å³ per cell

Unit cell a=3.874 b=3.874 c=4.981 alpha=90.00 beta=90.00 gamma=90.00
Last column: magnetic moment on the atom in μB.
Atoms (fractional coordinates):
N 0.000 0.500 0.000  0.12
N 0.500 0.000 0.000  0.12
W 0.000 0.000 0.000  0.02
S 0.000 0.000 0.500  0.06
Ru 0.500 0.500 0.500  2.51

---

# ZnRuSN2

An optimized crystal structure of ZnRuSN2 (PBE, Alexandria via LeMat-Bulk).

Output
Formation energy (no corrections)   0.65 eV per atom
Volume   74.0 Å³ per cell

Unit cell a=3.746 b=3.746 c=5.271 alpha=90.00 beta=90.00 gamma=90.00
Last column: magnetic moment on the atom in μB.
Atoms (fractional coordinates):
N 0.000 0.500 0.000  0.14
N 0.500 0.000 0.000  0.14
Zn 0.500 0.500 0.500  -0.01
Ru 0.000 0.000 0.000  -0.02
S 0.000 0.000 0.500  0.01

---

# ZnRuSN2

An optimized crystal structure of ZnRuSN2 (PBE, Alexandria via LeMat-Bulk).

Output
Formation energy (no corrections)   1.84 eV per atom
Volume   70.8 Å³ per cell

Unit cell a=3.702 b=3.702 c=5.169 alpha=90.00 beta=90.00 gamma=90.00
Last column: magnetic moment on the atom in μB.
Atoms (fractional coordinates):
N 0.000 0.500 0.000  0.48
N 0.500 0.000 0.000  0.48
S 0.000 0.000 0.500  0.17
Zn 0.000 0.000 0.000  0.03
Ru 0.500 0.500 0.500  1.77

---

# ZrRuSN2

An optimized crystal structure of ZrRuSN2 (PBE, Alexandria via LeMat-Bulk).

Output
Formation energy (no corrections)   0.91 eV per atom
Volume   87.7 Å³ per cell

Unit cell a=4.083 b=4.083 c=5.264 alpha=90.00 beta=90.00 gamma=90.00
Last column: magnetic moment on the atom in μB.
Atoms (fractional coordinates):
N 0.500 0.000 0.000  0.14
N 0.000 0.500 0.000  0.14
S 0.000 0.000 0.500  0.10
Zr 0.000 0.000 0.000  0.00
Ru 0.500 0.500 0.500  2.77

---

# ZrRuSN2

An optimized crystal structure of ZrRuSN2 (PBE, Alexandria via LeMat-Bulk).

Output
Formation energy (no corrections)   0.28 eV per atom
Volume   70.1 Å³ per cell

Unit cell a=3.840 b=3.840 c=4.754 alpha=90.00 beta=90.00 gamma=90.00
Atoms (fractional coordinates):
N 0.000 0.500 0.000
N 0.500 0.000 0.000
Ru 0.000 0.000 0.000
S 0.000 0.000 0.500
Zr 0.500 0.500 0.500

---

# Sb3RuN

An optimized crystal structure of Sb3RuN (PBE, Alexandria via LeMat-Bulk).

Output
Formation energy (no corrections)   1.40 eV per atom
Volume   128.2 Å³ per cell

Unit cell a=5.043 b=5.043 c=5.043 alpha=90.00 beta=90.00 gamma=90.00
Atoms (fractional coordinates):
Sb 0.000 0.000 0.500
Sb 0.500 0.000 0.000
Sb 0.000 0.500 0.000
Ru 0.000 0.000 0.000
N 0.500 0.500 0.500